[1]
DFT (PBE) results for a relaxed LaTbCe2Bi4 crystal.

Summary:
**ΔE_f**: -0.876 eV per atom
**Space-group type**: No. 10
**Energy**: -5.49 eV/atom
**DOS at the Fermi energy**: 1.689 states/eV/atom

Unit cell a=7.9722 b=4.6047 c=7.9737 alpha=90.00 beta=109.46 gamma=90.00
Last column: nearest neighbours and their distance in Å.
Atoms (fractional coordinates):
La1 0.0000 0.0000 0.0000  6 Bi 3.28-3.29
Tb1 0.5000 0.5000 0.0000  6 Bi 3.23
Ce1 0.0000 0.5000 0.5000  6 Bi 3.28
Ce2 0.5000 0.0000 0.5000  6 Bi 3.23
Bi1 0.2561 0.0000 0.7516  3 Ce 3.23-3.28, 2 Tb 3.23, 1 La 3.28
Bi2 0.2565 0.5000 0.2526  3 Ce 3.23-3.28, 1 Tb 3.23, 2 La 3.29
Bi3 0.7435 0.5000 0.7474  3 Ce 3.23-3.28, 1 Tb 3.23, 2 La 3.29
Bi4 0.7439 0.0000 0.2484  3 Ce 3.23-3.28, 2 Tb 3.23, 1 La 3.28



[2]
DFT (PBE) results for a relaxed NaSiHg2O4 crystal.

Summary:
**Formation energy (no corrections)**: -1398 meV/atom
**Space-group type**: No. 121
**Energy**: -4.80 eV/atom
**DOS at the Fermi energy**: 0.271 states/eV/atom

Unit cell a=6.0477 b=6.0477 c=6.0477 alpha=130.58 beta=130.58 gamma=72.48
Last column: nearest neighbours and their distance in Å.
Atoms (fractional coordinates):
Na1 0.0000 0.0000 0.0000  4 O 2.37
Si1 0.5000 0.5000 0.0000  4 O 1.67
Hg1 0.2500 0.7500 0.5000  4 O 2.38
Hg2 0.7500 0.2500 0.5000  4 O 2.38
O1 0.2111 0.5998 0.0000  1 Si 1.67
O2 0.4002 0.4002 0.6113  1 Si 1.67
O3 0.5998 0.2111 0.0000  1 Si 1.67
O4 0.7889 0.7889 0.3887  1 Si 1.67



[3]
DFT (PBE) results for a relaxed ZnBiAu3 crystal.

Summary:
**ΔE_f**: 0.008 eV per atom
**ΔE to the lowest computed polymorph**: 0.00 eV/f.u.
**Space-group type**: No. 194
**Energy**: -2.99 eV/atom
**DOS at the Fermi energy**: 0.464 states/eV/atom

Unit cell a=6.5373 b=6.5373 c=5.6989 alpha=90.00 beta=90.00 gamma=120.00
Last column: nearest neighbours and their distance in Å.
Atoms (fractional coordinates):
Zn1 0.0000 0.0000 0.0000  6 Au 2.59, 2 Zn 2.85
Zn2 0.0000 0.0000 0.5000  6 Au 2.59, 2 Zn 2.85
Bi1 0.3333 0.6667 0.2500  12 Au 3.27-3.28
Bi2 0.6667 0.3333 0.7500  12 Au 3.27-3.28
Au1 0.1910 0.3819 0.7500  2 Zn 2.59, 2 Au 2.79
Au2 0.1910 0.8090 0.7500  2 Zn 2.59, 2 Au 2.79
Au3 0.3819 0.1910 0.2500  2 Zn 2.59, 2 Au 2.79
Au4 0.6181 0.8090 0.7500  2 Zn 2.59, 2 Au 2.79
Au5 0.8090 0.1910 0.2500  2 Zn 2.59, 2 Au 2.79
Au6 0.8090 0.6181 0.2500  2 Zn 2.59, 2 Au 2.79



[4]
DFT (PBE) results for a relaxed Sr2ZrF crystal.

Summary:
**Formation energy (no corrections)**: -5 meV/atom
**ΔE to the lowest computed polymorph**: 3.04 eV/f.u.
**Space-group type**: No. 225
**Energy**: -3.45 eV/atom
**DOS at the Fermi energy**: 1.256 states/eV/atom

Unit cell a=5.7529 b=5.7529 c=5.7529 alpha=60.00 beta=60.00 gamma=60.00
Last column: nearest neighbours and their distance in Å.
Atoms (fractional coordinates):
Sr1 0.2500 0.2500 0.2500  4 F 3.52, 4 Zr 3.52
Sr2 0.7500 0.7500 0.7500  4 Zr 3.52, 4 F 3.52
Zr1 0.0000 0.0000 0.0000  8 Sr 3.52
F1 0.5000 0.5000 0.5000  8 Sr 3.52



[5]
DFT (PBE) results for a relaxed BaOsAu crystal.

Summary:
**ΔE_f**: 0.989 eV per atom
**ΔE to the lowest computed polymorph**: 1.69 eV/f.u.
**Space-group type**: No. 216
**Energy**: -4.49 eV/atom
**DOS at the Fermi energy**: 1.069 states/eV/atom

Unit cell a=4.8631 b=4.8631 c=4.8631 alpha=60.00 beta=60.00 gamma=60.00
Last column: nearest neighbours and their distance in Å.
Atoms (fractional coordinates):
Ba1 0.0000 0.0000 0.0000  4 Os 2.98
Os1 0.2500 0.2500 0.2500  4 Ba 2.98, 4 Au 2.98
Au1 0.5000 0.5000 0.5000  4 Os 2.98



[6]
DFT (PBE) results for a relaxed Rb3Sm3PaTe8 crystal.

Summary:
**Formation energy (no corrections)**: -1287 meV/atom
**Space-group type**: No. 166
**Energy**: -4.73 eV/atom
**DOS at the Fermi energy**: 0.235 states/eV/atom

Unit cell a=10.1819 b=10.1819 c=10.1819 alpha=53.04 beta=53.04 gamma=53.04
Last column: nearest neighbours and their distance in Å.
Atoms (fractional coordinates):
Rb1 0.0000 0.5000 0.5000  6 Te 3.69-3.70
Rb2 0.5000 0.0000 0.5000  6 Te 3.69-3.70
Rb3 0.5000 0.5000 0.0000  6 Te 3.69-3.70
Sm1 0.0000 0.0000 0.5000  6 Te 3.16
Sm2 0.0000 0.5000 0.0000  6 Te 3.16
Sm3 0.5000 0.0000 0.0000  6 Te 3.16
Pa1 0.5000 0.5000 0.5000  6 Te 3.12
Te1 0.2342 0.2342 0.2342  3 Sm 3.16
Te2 0.2372 0.7308 0.7308  1 Pa 3.12, 2 Sm 3.16
Te3 0.2692 0.2692 0.7628  1 Pa 3.12, 2 Sm 3.16
Te4 0.2692 0.7628 0.2692  1 Pa 3.12, 2 Sm 3.16
Te5 0.7308 0.2372 0.7308  1 Pa 3.12, 2 Sm 3.16
Te6 0.7308 0.7308 0.2372  1 Pa 3.12, 2 Sm 3.16
Te7 0.7628 0.2692 0.2692  1 Pa 3.12, 2 Sm 3.16
Te8 0.7658 0.7658 0.7658  3 Sm 3.16



[7]
DFT (PBE) results for a relaxed Th2Al3ZnAu4 crystal.

Summary:
**ΔE_f**: -0.641 eV per atom
**Space-group type**: No. 115
**Energy**: -4.69 eV/atom
**DOS at the Fermi energy**: 0.421 states/eV/atom

Unit cell a=4.4289 b=4.4289 c=10.4232 alpha=90.00 beta=90.00 gamma=90.00
Last column: nearest neighbours and their distance in Å.
Atoms (fractional coordinates):
Th1 0.0000 0.5000 0.2500  8 Au 3.37-3.42, 6 Al 3.37-3.42, 2 Zn 3.42
Th2 0.5000 0.0000 0.7500  8 Au 3.37-3.42, 6 Al 3.37-3.42, 2 Zn 3.42
Al1 0.0000 0.0000 0.0000  4 Au 2.60
Al2 0.0000 0.5000 0.6310  5 Au 2.48-2.60
Al3 0.5000 0.0000 0.3690  5 Au 2.48-2.60
Zn1 0.5000 0.5000 0.0000  4 Au 2.60
Au1 0.0000 0.0000 0.5000  4 Al 2.60
Au2 0.0000 0.5000 0.8686  3 Al 2.48-2.60, 2 Zn 2.60
Au3 0.5000 0.0000 0.1314  3 Al 2.48-2.60, 2 Zn 2.60
Au4 0.5000 0.5000 0.5000  4 Al 2.60



[8]
DFT (PBE) results for a relaxed CdIO3 crystal.

Summary:
**Formation energy (no corrections)**: 434 meV/atom
**Space-group type**: No. 221
**Energy**: -3.03 eV/atom
**DOS at the Fermi energy**: 0.600 states/eV/atom

Unit cell a=4.1646 b=4.1646 c=4.1646 alpha=90.00 beta=90.00 gamma=90.00
Last column: nearest neighbours and their distance in Å.
Atoms (fractional coordinates):
Cd1 0.0000 0.0000 0.0000  6 O 2.08
I1 0.5000 0.5000 0.5000  12 O 2.94
O1 0.0000 0.0000 0.5000  2 Cd 2.08
O2 0.0000 0.5000 0.0000  2 Cd 2.08
O3 0.5000 0.0000 0.0000  2 Cd 2.08